(1)
# Dy5Tm4Pu

Dy5Tm4Pu after structural relaxation (PBE, the Alexandria database).

abc: 8.0629 8.0629 8.0629
angles: 96.44 96.44 140.86
With the nearest neighbours (Å) after each atom.
Fractional coordinates of all 10 atoms:
1 Dy 0.0000 0.0000 0.0000  2 Pu 2.70
2 Dy 0.3163 0.3163 0.6305  1 Pu 2.81
3 Dy 0.3163 0.6858 0.0000  1 Pu 2.81
4 Dy 0.6858 0.3163 0.0000  1 Pu 2.81
5 Dy 0.6858 0.6858 0.3695  1 Pu 2.81
6 Tm 0.0012 0.3288 0.3276  7 Dy 3.39-3.69, 5 Tm 3.70-3.76
7 Tm 0.0012 0.6735 0.6724  7 Dy 3.39-3.69, 5 Tm 3.70-3.76
8 Tm 0.3288 0.0012 0.3276  7 Dy 3.39-3.69, 5 Tm 3.70-3.76
9 Tm 0.6735 0.0012 0.6724  7 Dy 3.39-3.69, 5 Tm 3.70-3.76
10 Pu 0.4998 0.4998 0.0000  6 Dy 2.70-2.81

Results
- raw total energy (eV per atom) = -5.256
- size of the total moment (μB per atom) = 0.59
- DFT formation energy (eV/f.u.) = 2.7
- energy above the lowest structure with this stoichiometry (meV per atom) = 213


(2)
# Dy8Tm6Pu

Dy8Tm6Pu after structural relaxation (PBE, the Alexandria database).

abc: 8.4808 8.4808 8.4808
angles: 63.47 63.47 63.47
With the nearest neighbours (Å) after each atom.
Fractional coordinates of all 15 atoms:
1 Dy 0.0765 0.0765 0.0765  4 Dy 3.09-3.37, 3 Tm 3.30
2 Dy 0.2176 0.6112 0.2523  3 Tm 3.36-3.61, 5 Dy 3.37-3.40, 1 Pu 3.43
3 Dy 0.2523 0.2176 0.6112  3 Tm 3.36-3.61, 5 Dy 3.37-3.40, 1 Pu 3.43
4 Dy 0.3888 0.7477 0.7824  3 Tm 3.36-3.61, 5 Dy 3.37-3.40, 1 Pu 3.43
5 Dy 0.6112 0.2523 0.2176  3 Tm 3.36-3.61, 5 Dy 3.37-3.40, 1 Pu 3.43
6 Dy 0.7477 0.7824 0.3888  3 Tm 3.36-3.61, 5 Dy 3.37-3.40, 1 Pu 3.43
7 Dy 0.7824 0.3888 0.7477  3 Tm 3.36-3.61, 5 Dy 3.37-3.40, 1 Pu 3.43
8 Dy 0.9235 0.9235 0.9235  4 Dy 3.09-3.37, 3 Tm 3.30
9 Tm 0.0453 0.6110 0.7262  4 Dy 3.30-3.61, 1 Pu 3.35, 4 Tm 3.48-3.62
10 Tm 0.2738 0.9547 0.3890  4 Dy 3.30-3.61, 1 Pu 3.35, 4 Tm 3.48-3.62
11 Tm 0.3890 0.2738 0.9547  4 Dy 3.30-3.61, 1 Pu 3.35, 4 Tm 3.48-3.62
12 Tm 0.6110 0.7262 0.0453  4 Dy 3.30-3.61, 1 Pu 3.35, 4 Tm 3.48-3.62
13 Tm 0.7262 0.0453 0.6110  4 Dy 3.30-3.61, 1 Pu 3.35, 4 Tm 3.48-3.62
14 Tm 0.9547 0.3890 0.2738  4 Dy 3.30-3.61, 1 Pu 3.35, 4 Tm 3.48-3.62
15 Pu 0.5000 0.5000 0.5000  6 Tm 3.35, 6 Dy 3.43

Results
- raw total energy (eV per atom) = -5.079
- size of the total moment (μB per atom) = 0.45
- DFT formation energy (eV/f.u.) = 1.8


(3)
# DyTmPu2

DyTmPu2 after structural relaxation (PBE, the Alexandria database).

abc: 4.7908 4.7908 5.0160
angles: 90.00 90.00 90.00
With the nearest neighbours (Å) after each atom.
Fractional coordinates of all 4 atoms:
1 Dy 0.0000 0.0000 0.0000  4 Tm 3.39, 8 Pu 3.47
2 Tm 0.5000 0.5000 0.0000  4 Dy 3.39, 8 Pu 3.47
3 Pu 0.0000 0.5000 0.5000  4 Pu 3.39, 4 Dy 3.47, 4 Tm 3.47
4 Pu 0.5000 0.0000 0.5000  4 Pu 3.39, 4 Dy 3.47, 4 Tm 3.47

Results
- raw total energy (eV per atom) = -9.268
- size of the total moment (μB per atom) = 3.19
- DFT formation energy (eV/f.u.) = 0.7
- energy above the lowest structure with this stoichiometry (meV per atom) = 3